No. 1
Entry from the Alexandria database: a relaxed structure of Li2SbHPt (PBE-GGA).

abc: 4.104 4.104 3.919
angles: 90.00 90.00 90.00
Fractional coordinates of all 5 atoms:
Sb (0.500, 0.500, 0.500)
H (0.000, 0.000, 0.000)
Pt (0.000, 0.000, 0.500)
Li (0.000, 0.500, 0.000)
Li (0.500, 0.000, 0.000)

raw total energy: -3.97 eV/atom


No. 2
Entry from the Alexandria database: a relaxed structure of LiSbHPt2 (PBE-GGA).

abc: 4.089 4.089 4.103
angles: 90.00 90.00 90.00
Fractional coordinates of all 5 atoms:
Sb (0.500, 0.500, 0.500)
H (0.000, 0.000, 0.000)
Pt (0.000, 0.500, 0.000)
Pt (0.500, 0.000, 0.000)
Li (0.000, 0.000, 0.500)

raw total energy: -4.63 eV/atom


No. 3
Entry from the Alexandria database: a relaxed structure of LiSbHPtSe (PBE-GGA).

abc: 5.949 3.849 8.967
angles: 90.00 111.12 90.00
Fractional coordinates of all 10 atoms:
Li (0.731, 0.000, 0.982)
Li (0.731, 0.500, 0.482)
Sb (0.385, 0.000, 0.580)
Sb (0.385, 0.500, 0.080)
H (0.280, 0.000, 0.756)
H (0.280, 0.500, 0.256)
Pt (0.138, 0.000, 0.901)
Pt (0.138, 0.500, 0.401)
Se (0.831, 0.000, 0.295)
Se (0.831, 0.500, 0.795)

energy above the most stable polymorph in this dataset: 81 meV per atom
raw total energy: -4.13 eV/atom


No. 4
Entry from the Alexandria database: a relaxed structure of LiSbHPtSe (PBE-GGA).

abc: 7.316 4.331 6.153
angles: 90.00 100.75 90.00
Fractional coordinates of all 10 atoms:
Li (0.372, 0.000, 0.942)
Li (0.372, 0.500, 0.442)
Sb (0.775, 0.000, 0.033)
Sb (0.775, 0.500, 0.533)
H (0.139, 0.000, 0.682)
H (0.139, 0.500, 0.182)
Pt (0.587, 0.000, 0.625)
Pt (0.587, 0.500, 0.125)
Se (0.217, 0.000, 0.474)
Se (0.217, 0.500, 0.974)

energy above the most stable polymorph in this dataset: 111 meV per atom
raw total energy: -4.10 eV/atom


No. 5
Entry from the Alexandria database: a relaxed structure of LiSbHPtSe (PBE-GGA).

abc: 4.165 4.625 6.084
angles: 91.11 109.60 115.37
Fractional coordinates of all 5 atoms:
Li (0.022, 0.886, 0.335)
Sb (0.045, 0.482, 0.782)
H (0.847, 0.951, 0.965)
Pt (0.663, 0.829, 0.686)
Se (0.297, 0.488, 0.261)

energy above the most stable polymorph in this dataset: 0 meV per atom
raw total energy: -4.22 eV/atom


No. 6
Entry from the Alexandria database: a relaxed structure of LiSbHPtSe (PBE-GGA).

abc: 3.924 4.229 7.618
angles: 87.44 75.16 62.60
Fractional coordinates of all 5 atoms:
Li (0.861, 0.146, 0.929)
Sb (0.105, 0.164, 0.426)
H (0.954, 0.226, 0.669)
Pt (0.517, 0.487, 0.280)
Se (0.106, 0.546, 0.044)

energy above the most stable polymorph in this dataset: 100 meV per atom
raw total energy: -4.12 eV/atom


Short version: total moment = 0.00; 0.00; 0.00; 0.00; 0.00; 0.00 μB/f.u., in the order given.